Ni2PRuO | Alexandria | PBE+U | relaxed; density = 6.17 g/cm3; raw total energy = -18.85 eV/f.u.
1.0
4.017 0.000 0.000
0.000 4.017 0.000
0.000 0.000 4.428
Ni P Ru O
2 1 1 1
direct
0.000 0.500 0.000
0.500 0.000 0.000
0.000 0.000 0.000
0.000 0.000 0.500
0.500 0.500 0.500